Entry 1:
Y2HgSe: single point on PBEsol structure, meta-GGA SCAN.

Unit cell a=4.133 b=4.133 c=5.917 alpha=90.00 beta=90.00 gamma=90.00
Space group P4/mmm (No. 123)
One atom of each set of equivalent atoms:
Y 0.000 0.000 0.000 [1 per cell]
Y 0.500 0.500 0.500 [1 per cell]
Hg 0.000 0.000 0.500 [1 per cell]
Se 0.500 0.500 0.000 [1 per cell]

The excess energy over the best structure of this formula in the dataset is 35 meV/atom. The uncorrected formation energy comes out at -1.335 eV per atom. For the total magnetic moment, the calculation gives 0.00 μB per atom.

***

Entry 2:
Os2RhSe: single point on PBEsol structure, meta-GGA SCAN.

Unit cell a=9.034 b=2.796 c=4.759 alpha=90.00 beta=105.82 gamma=90.00
Space group C2/m (No. 12)
One atom of each set of equivalent atoms:
Os 0.237 0.000 0.261 [4 per cell]
Rh 0.000 0.000 0.500 [2 per cell]
Se 0.000 0.500 0.000 [2 per cell]

The uncorrected formation energy comes out at 0.584 eV per atom. For the total magnetic moment, the calculation gives 0.00 μB per atom.

***

Entry 3:
SrLi2Ga2: single point on PBEsol structure, meta-GGA SCAN.

Unit cell a=4.788 b=4.788 c=9.297 alpha=90.00 beta=90.00 gamma=90.00
Space group I4/mmm (No. 139)
One atom of each set of equivalent atoms:
Sr 0.000 0.000 0.000 [2 per cell]
Li 0.000 0.500 0.250 [4 per cell]
Ga 0.000 0.000 0.370 [4 per cell]

For the total magnetic moment, the calculation gives 0.00 μB per atom. Its formation energy is -1.7 eV per formula unit.

***

Entry 4:
Li5Pb4: single point on PBEsol structure, meta-GGA SCAN.

Unit cell a=8.5620 b=8.5620 c=6.1290 alpha=90.00 beta=90.00 gamma=120.00
Space group P6_3/mcm (No. 193)
One atom of each set of equivalent atoms:
Li 0.0000 0.3085 0.2500 [6 per cell]
Li 0.3333 0.6667 0.0000 [4 per cell]
Pb 0.0000 0.0000 0.0000 [2 per cell]
Pb 0.0000 0.3640 0.7500 [6 per cell]

For the total magnetic moment, the calculation gives 0.00 μB per atom. Its formation energy is -3.0 eV per formula unit.

***

Entry 5:
ReMo2Os: single point on PBEsol structure, meta-GGA SCAN.

Unit cell a=3.889 b=3.889 c=7.841 alpha=90.00 beta=90.00 gamma=90.00
Space group I-4m2 (No. 119)
One atom of each set of equivalent atoms:
Re 0.000 0.000 0.000 [2 per cell]
Mo 0.000 0.000 0.500 [2 per cell]
Mo 0.000 0.500 0.250 [2 per cell]
Os 0.000 0.500 0.750 [2 per cell]

For the total magnetic moment, the calculation gives 0.00 μB per atom. Its formation energy is 0.6 eV per formula unit.

***

Entry 6:
K2TaOs: single point on PBEsol structure, meta-GGA SCAN.

Unit cell a=3.781 b=3.781 c=11.948 alpha=90.00 beta=90.00 gamma=90.00
Space group I4/mmm (No. 139)
One atom of each set of equivalent atoms:
K 0.000 0.500 0.250 [4 per cell]
Ta 0.000 0.000 0.000 [2 per cell]
Os 0.000 0.000 0.500 [2 per cell]

The excess energy over the best structure of this formula in the dataset is 226 meV/atom. For the total magnetic moment, the calculation gives 0.00 μB per atom. Its formation energy is 4.6 eV per formula unit.

***

Here are the calculated raw total energy numbers, same order: -37.32; -48.82; -12.29; -35.34; -53.03; -37.64 (eV per atom).